Cu2SnGe2: relaxed, PBE.

The structure in POSCAR format:
```
Cu2SnGe2
1.0
-6.1331 4.2570 -0.3038
0.1507 -0.3156 -7.4637
-1.7963 -2.5828 0.0729
Cu Sn Ge
4 2 4
direct
0.8698 0.6302 0.0000 Cu
0.6302 0.1302 0.0000 Cu
0.3698 0.8698 0.0000 Cu
0.1302 0.3698 0.0000 Cu
0.5000 0.5000 0.0000 Sn
0.0000 0.0000 0.0000 Sn
0.8420 0.3420 0.5000 Ge
0.1580 0.6580 0.5000 Ge
0.3420 0.1580 0.5000 Ge
0.6580 0.8420 0.5000 Ge
```

Results
* SG: P4/mbm, No. 127
* formation energy from the elements: 0.183 eV/atom
* energy relative to the lowest polymorph listed for this composition: 49 meV/atom
* final energy: -41.03 eV/cell

***

Cu4SnGe: relaxed, PBE.

The structure in POSCAR format:
```
Cu4SnGe
1.0
-3.0687 2.7557 2.3315
-3.5317 -2.3138 -1.8929
3.3404 -5.4040 6.0009
Sn Cu Ge
2 8 2
direct
0.2151 0.2483 0.0005 Sn
0.7849 0.7517 0.9995 Sn
0.4095 0.8425 0.1932 Cu
0.3725 0.4158 0.3391 Cu
0.5905 0.1575 0.8068 Cu
0.7862 0.3509 0.1928 Cu
0.9682 0.9228 0.3389 Cu
0.0318 0.0772 0.6611 Cu
0.6275 0.5842 0.6609 Cu
0.2138 0.6491 0.8072 Cu
0.5000 0.0000 0.5000 Ge
0.0000 0.5000 0.5000 Ge
```

Results
* SG: P-1, No. 2
* formation energy from the elements: 0.067 eV/atom
* energy relative to the lowest polymorph listed for this composition: 65 meV/atom
* final energy: -49.20 eV/cell

***

Cu2SnGe: relaxed, PBE.

The structure in POSCAR format:
```
Cu2SnGe
1.0
-1.7349 1.1461 2.3489
0.8228 -2.4364 1.7965
5.5241 3.5845 2.3311
Cu Sn Ge
2 1 1
direct
0.0000 0.0000 0.7901 Cu
0.0000 0.0000 0.2099 Cu
0.5000 0.5000 0.5000 Sn
0.5000 0.5000 0.0000 Ge
```

Results
* SG: P4/mmm, No. 123
* formation energy from the elements: 0.200 eV/atom
* energy relative to the lowest polymorph listed for this composition: 33 meV/atom
* final energy: -16.01 eV/cell

***

Cu2SnGe: relaxed, PBE.

The structure in POSCAR format:
```
Cu2SnGe
1.0
0.0000 3.2507 3.2507
3.2507 0.0000 3.2507
3.2507 3.2507 0.0000
Cu Sn Ge
2 1 1
direct
0.2500 0.2500 0.2500 Cu
0.7500 0.7500 0.7500 Cu
0.5000 0.5000 0.5000 Sn
0.0000 0.0000 0.0000 Ge
```

Results
* SG: Fm-3m, No. 225
* formation energy from the elements: 0.225 eV/atom
* energy relative to the lowest polymorph listed for this composition: 57 meV/atom
* final energy: -15.91 eV/cell